DFT (GGA-PBE) results for crystalline YHoHg4 at its relaxed geometry.

Summary:
total moment	0.26	μB/f.u.
space group	C2/m, No. 12
distance to the lowest polymorph of the same formula	53	meV/atom
E_form	-0.346	eV per atom

a = 3.616 Å, b = 6.195 Å, c = 8.055 Å
α = 111.90°, β = 77.03°, γ = 73.03°
Fractional coordinates of all 6 atoms:
1 Y 0.500 0.500 0.500
2 Ho 0.000 0.000 0.000
3 Hg 0.831 0.502 0.836
4 Hg 0.336 0.996 0.332
5 Hg 0.169 0.498 0.164
6 Hg 0.664 0.004 0.668